Entry 1:
The following is a PBE calculation of ErMg8Sc2 after structural relaxation, from the Alexandria database.

It has space group Immm (No. 71), with a = 5.112 Å, b = 7.680 Å, c = 13.811 Å, α = 90.00°, β = 90.00° and γ = 90.00°. The distinct sites, in fractional coordinates, are Er at (0.000, 0.000, 0.000), Mg at (0.000, 0.199, 0.500), Mg at (0.000, 0.307, 0.142), Mg at (0.000, 0.500, 0.346) and Sc at (0.000, 0.000, 0.288).

The value obtained for the energy of formation is 0.0793 eV/atom. As for the crystal system: orthorhombic. The calculation puts the mass density at 2.8 g/cm3.

***

Entry 2:
The following is a PBE calculation of Er2MgSc4 after structural relaxation, from the Alexandria database.

It has space group R-3m (No. 166, hexagonal axes), with a = 3.3318 Å, b = 3.3318 Å, c = 57.9448 Å, α = 90.00°, β = 90.00° and γ = 120.00°. The distinct sites, in fractional coordinates, are Er at (0.0000, 0.0000, 0.2346), Mg at (0.0000, 0.0000, 0.0000), Sc at (0.0000, 0.0000, 0.1447) and Sc at (0.0000, 0.0000, 0.2897).

The value obtained for the energy of formation is 0.1296 eV/atom. As for the crystal system: trigonal. The relative energy among the computed polymorphs is 60 meV/atom. The calculation puts the mass density at 4.8 g/cm3.

***

Entry 3:
The following is a PBE calculation of ErMgSc after structural relaxation, from the Alexandria database.

It has space group Cmmm (No. 65), with a = 11.485 Å, b = 11.690 Å, c = 3.126 Å, α = 90.00°, β = 90.00° and γ = 90.00°. The distinct sites, in fractional coordinates, are Er at (0.000, 0.000, 0.000), Er at (0.000, 0.500, 0.500), Mg at (0.000, 0.238, 0.500) and Sc at (0.241, 0.500, 0.000).

The value obtained for the energy of formation is 0.7769 eV/atom. As for the crystal system: orthorhombic. The relative energy among the computed polymorphs is 795 meV/atom. The calculation puts the mass density at 3.7 g/cm3.

***

Entry 4:
The following is a PBE calculation of Er6MgSc12 after structural relaxation, from the Alexandria database.

It has space group R-3 (No. 148, hexagonal axes), with a = 11.6364 Å, b = 11.6364 Å, c = 13.0954 Å, α = 90.00°, β = 90.00° and γ = 120.00°. The distinct sites, in fractional coordinates, are Er at (0.0247, 0.4303, 0.2133), Mg at (0.0000, 0.0000, 0.5000), Sc at (0.0486, 0.1797, 0.3096) and Sc at (0.0630, 0.8728, 0.9039).

The value obtained for the energy of formation is 0.1636 eV/atom. As for the crystal system: trigonal. The calculation puts the mass density at 5.1 g/cm3.

***

Entry 5:
The following is a PBE calculation of Er2Mg6Sc after structural relaxation, from the Alexandria database.

It has space group C2/m (No. 12), with a = 15.505 Å, b = 8.971 Å, c = 3.219 Å, α = 90.00°, β = 90.10° and γ = 90.00°. The distinct sites, in fractional coordinates, are Er at (0.167, 0.000, 0.000), Mg at (0.000, 0.171, 0.500), Mg at (0.164, 0.336, 0.499) and Sc at (0.000, 0.500, 0.000).

The value obtained for the energy of formation is -0.0402 eV/atom. As for the crystal system: monoclinic. The calculation puts the mass density at 3.9 g/cm3.

***

Entry 6:
The following is a PBE calculation of ErMgSc after structural relaxation, from the Alexandria database.

It has space group P1 (No. 1), with a = 3.273 Å, b = 5.073 Å, c = 9.640 Å, α = 89.96°, β = 80.62° and γ = 90.00°. The distinct sites, in fractional coordinates, are Er at (0.000, 0.000, 0.000), Er at (0.221, 0.501, 0.540), Mg at (0.417, 0.501, 0.186), Mg at (0.819, 0.002, 0.355), Sc at (0.570, 0.500, 0.851) and Sc at (0.648, 0.000, 0.689).

The value obtained for the energy of formation is 0.0000 eV/atom. As for the crystal system: triclinic. The relative energy among the computed polymorphs is 18 meV/atom. The calculation puts the mass density at 5.0 g/cm3.